The following is a DFT calculation (PBE) of a geometry-optimized CaNbRh2 structure.

```
data_CaNbRh2
_chemical_formula_sum 'Ca1 Nb1 Rh2'
_cell_length_a 3.208
_cell_length_b 3.208
_cell_length_c 7.276
_cell_angle_alpha 90.00
_cell_angle_beta 90.00
_cell_angle_gamma 90.00
_symmetry_space_group_name_H-M 'P 4/m m m'
_symmetry_Int_Tables_number 123
_symmetry_space_group_name_Hall '-P 4 2'
loop_
_atom_site_label
_atom_site_fract_x
_atom_site_fract_y
_atom_site_fract_z
_atom_site_occupancy
Ca1 0.000 0.000 0.000 1
Nb1 0.000 0.000 0.500 1
Rh1 0.500 0.500 0.298 1
```

Values from the calculation:
* final energy: -7.107 eV/atom
* total magnetic moment: 0.00 μB/cell
* energy of formation: -0.413 eV per atom
* ρ: 7.512 g/cm3

---

The following is a DFT calculation (PBE) of a geometry-optimized Be2NiAs structure.

```
data_Be2NiAs
_chemical_formula_sum 'Be4 Ni2 As2'
_cell_length_a 3.510
_cell_length_b 3.510
_cell_length_c 7.063
_cell_angle_alpha 90.00
_cell_angle_beta 90.00
_cell_angle_gamma 90.00
_symmetry_space_group_name_H-M 'I 4/m m m'
_symmetry_Int_Tables_number 139
_symmetry_space_group_name_Hall '-I 4 2'
loop_
_atom_site_label
_atom_site_fract_x
_atom_site_fract_y
_atom_site_fract_z
_atom_site_occupancy
Be1 0.000 0.500 0.250 1
Ni1 0.000 0.000 0.000 1
As1 0.000 0.000 0.500 1
```

Values from the calculation:
* final energy: -4.475 eV/atom
* total magnetic moment: 0.00 μB/cell
* energy of formation: -0.004 eV per atom
* ρ: 5.787 g/cm3

---

The following is a DFT calculation (PBE) of a geometry-optimized TmTi2Mn9 structure.

```
data_TmTi2Mn9
_chemical_formula_sum 'Tm3 Ti6 Mn27'
_cell_length_a 4.8042
_cell_length_b 4.8042
_cell_length_c 23.4493
_cell_angle_alpha 90.00
_cell_angle_beta 90.00
_cell_angle_gamma 120.00
_symmetry_space_group_name_H-M 'R -3 m'
_symmetry_Int_Tables_number 166
_symmetry_space_group_name_Hall '-R 3 2"'
loop_
_atom_site_label
_atom_site_fract_x
_atom_site_fract_y
_atom_site_fract_z
_atom_site_occupancy
Tm1 0.0000 0.0000 0.0000 1
Ti1 0.0000 0.0000 0.1434 1
Mn1 0.0000 0.0000 0.3376 1
Mn2 0.0000 0.0000 0.5000 1
Mn3 0.0114 0.5057 0.9140 1
```

Values from the calculation:
* final energy: -8.659 eV/atom
* total magnetic moment: 6.42 μB/cell
* energy of formation: -0.094 eV per atom
* ρ: 8.068 g/cm3

---

The following is a DFT calculation (PBE) of a geometry-optimized TbNdSCl structure.

```
data_TbNdSCl
_chemical_formula_sum 'Tb2 Nd2 S2 Cl2'
_cell_length_a 6.696
_cell_length_b 3.870
_cell_length_c 7.739
_cell_angle_alpha 90.00
_cell_angle_beta 106.66
_cell_angle_gamma 90.00
_symmetry_space_group_name_H-M 'C 1 m 1'
_symmetry_Int_Tables_number 8
loop_
_symmetry_equiv_pos_as_xyz
'x,y,z'
'x,-y,z'
'x+1/2,y+1/2,z'
'x+1/2,-y+1/2,z'
loop_
_atom_site_label
_atom_site_fract_x
_atom_site_fract_y
_atom_site_fract_z
_atom_site_occupancy
Tb1 0.000 0.000 0.000 1
Nd1 0.194 0.000 0.580 1
S1 0.100 0.500 0.800 1
Cl1 0.421 0.000 0.265 1
```

Values from the calculation:
* final energy: -5.467 eV/atom
* total magnetic moment: 0.00 μB/cell
* ρ: 6.408 g/cm3
* formation energy (no corrections): -1624.0 meV per atom

---

The following is a DFT calculation (PBE) of a geometry-optimized KY2Pb structure.

```
data_KY2Pb
_chemical_formula_sum 'K1 Y2 Pb1'
_cell_length_a 3.694
_cell_length_b 3.694
_cell_length_c 10.615
_cell_angle_alpha 90.00
_cell_angle_beta 90.00
_cell_angle_gamma 90.00
_symmetry_space_group_name_H-M 'P 4 m m'
_symmetry_Int_Tables_number 99
loop_
_symmetry_equiv_pos_as_xyz
'x,y,z'
'-y,x,z'
'-x,-y,z'
'y,-x,z'
'-x,y,z'
'y,x,z'
'x,-y,z'
'-y,-x,z'
loop_
_atom_site_label
_atom_site_fract_x
_atom_site_fract_y
_atom_site_fract_z
_atom_site_occupancy
K1 0.000 0.000 0.000 1
Y1 0.000 0.000 0.441 1
Y2 0.500 0.500 0.665 1
Pb1 0.500 0.500 0.247 1
```

Values from the calculation:
* final energy: -4.468 eV/atom
* total magnetic moment: 1.17 μB/cell
* energy of formation: -0.035 eV per atom
* ρ: 4.862 g/cm3

---

The following is a DFT calculation (PBE) of a geometry-optimized CoTe2BrN structure.

```
data_CoTe2BrN
_chemical_formula_sum 'Co1 Te2 Br1 N1'
_cell_length_a 5.525
_cell_length_b 5.525
_cell_length_c 3.389
_cell_angle_alpha 90.00
_cell_angle_beta 90.00
_cell_angle_gamma 90.00
_symmetry_space_group_name_H-M 'P 4/m m m'
_symmetry_Int_Tables_number 123
_symmetry_space_group_name_Hall '-P 4 2'
loop_
_atom_site_label
_atom_site_fract_x
_atom_site_fract_y
_atom_site_fract_z
_atom_site_occupancy
Co1 0.000 0.000 0.000 1
Te1 0.000 0.500 0.000 1
Br1 0.500 0.500 0.500 1
N1 0.000 0.000 0.500 1
```

Values from the calculation:
* final energy: -4.297 eV/atom
* total magnetic moment: 0.00 μB/cell
* ρ: 6.549 g/cm3
* formation energy (no corrections): 381.0 meV per atom